1.
DFT (PBE-GGA) results for CsVTe2 after structural relaxation.

a b c (Å): 7.903 7.903 7.903
angles (deg): 90.00 90.00 90.00
Space group Fm-3m (No. 225)
Inequivalent atoms, fractional coordinates:
Cs 0.000 0.000 0.000 (multiplicity 4)
V 0.000 0.000 0.500 (multiplicity 4)
Te 0.250 0.250 0.250 (multiplicity 8)

Calculated values
**Crystal system**: cubic
**E_form (uncorrected)**: 0.7 eV/f.u.

***

2.
DFT (PBE-GGA) results for KLiO after structural relaxation.

a b c (Å): 8.861 6.463 6.500
angles (deg): 90.00 90.00 90.00
Space group Cmce (No. 64)
Inequivalent atoms, fractional coordinates:
K 0.174 0.000 0.000 (multiplicity 8)
Li 0.000 0.124 0.374 (multiplicity 8)
O 0.000 0.170 0.667 (multiplicity 8)

Calculated values
**Crystal system**: orthorhombic
**E_form (uncorrected)**: -4.2 eV/f.u.

***

3.
DFT (PBE-GGA) results for YCuP2 after structural relaxation.

a b c (Å): 3.997 6.194 6.098
angles (deg): 90.00 90.00 90.00
Space group Cmmm (No. 65)
Inequivalent atoms, fractional coordinates:
Y 0.000 0.000 0.000 (multiplicity 2)
Cu 0.000 0.000 0.500 (multiplicity 2)
P 0.000 0.500 0.303 (multiplicity 4)

Calculated values
**Crystal system**: orthorhombic
**Energy of formation**: -413 meV/atom

***

4.
DFT (PBE-GGA) results for AlMo4 after structural relaxation.

a b c (Å): 5.682 5.682 5.682
angles (deg): 90.00 90.00 90.00
Space group Im-3m (No. 229)
Inequivalent atoms, fractional coordinates:
Al 0.000 0.000 0.000 (multiplicity 2)
Mo 0.250 0.250 0.250 (multiplicity 8)

Calculated values
**Crystal system**: cubic
**Energy of formation**: 1330 meV/atom
**ΔE to the lowest computed polymorph**: 1.454 eV per atom

***

5.
DFT (PBE-GGA) results for SrRh2Br after structural relaxation.

a b c (Å): 3.504 3.504 7.730
angles (deg): 90.00 90.00 90.00
Space group P4mm (No. 99)
Inequivalent atoms, fractional coordinates:
Sr 0.000 0.000 0.000 (multiplicity 1)
Rh 0.000 0.000 0.611 (multiplicity 1)
Rh 0.500 0.500 0.710 (multiplicity 1)
Br 0.500 0.500 0.235 (multiplicity 1)

Calculated values
**Crystal system**: tetragonal
**E_form (uncorrected)**: -1.0 eV/f.u.
**ΔE to the lowest computed polymorph**: 0.006 eV per atom

***

6.
DFT (PBE-GGA) results for AlAu2Se after structural relaxation.

a b c (Å): 6.630 6.630 8.451
angles (deg): 90.00 90.00 90.00
Space group I-42d (No. 122)
Inequivalent atoms, fractional coordinates:
Al 0.000 0.000 0.000 (multiplicity 4)
Au 0.236 0.250 0.125 (multiplicity 8)
Se 0.000 0.000 0.500 (multiplicity 4)

Calculated values
**Crystal system**: tetragonal
**E_form (uncorrected)**: 0.1 eV/f.u.

***

Number 1: calculated density 5.91 g/cm3, final energy -3.90 eV per atom. Number 2: calculated density 2.21 g/cm3, final energy -4.07 eV per atom. Number 3: calculated density 4.72 g/cm3, final energy -5.76 eV per atom. Number 4: calculated density 7.44 g/cm3, final energy -8.08 eV per atom. Number 5: calculated density 6.53 g/cm3, final energy -4.76 eV per atom. Number 6: calculated density 8.94 g/cm3, final energy -3.42 eV per atom.